1.
A relaxed YCo2NiB crystal, computed with PBE-GGA.

a b c (Å): 3.9772 3.9772 3.9645
angles (deg): 90.00 90.00 90.00
Space group P4/mmm (No. 123)
One atom of each set of equivalent atoms:
Y  0.0000  0.0000  0.0000 (multiplicity 1)
Co  0.0000  0.5000  0.5000 (multiplicity 2)
Ni  0.5000  0.5000  0.0000 (multiplicity 1)
B  0.5000  0.5000  0.5000 (multiplicity 1)

---

2.
A relaxed ZnCoNi2B crystal, computed with PBE-GGA.

a b c (Å): 3.8077 3.8077 3.7863
angles (deg): 90.00 90.00 90.00
Space group P4/mmm (No. 123)
One atom of each set of equivalent atoms:
Zn  0.0000  0.0000  0.0000 (multiplicity 1)
Co  0.5000  0.5000  0.0000 (multiplicity 1)
Ni  0.0000  0.5000  0.5000 (multiplicity 2)
B  0.5000  0.5000  0.5000 (multiplicity 1)

---

3.
A relaxed ZrCo2NiB crystal, computed with PBE-GGA.

a b c (Å): 3.8959 3.8959 3.9143
angles (deg): 90.00 90.00 90.00
Space group P4/mmm (No. 123)
One atom of each set of equivalent atoms:
Zr  0.0000  0.0000  0.0000 (multiplicity 1)
Co  0.0000  0.5000  0.5000 (multiplicity 2)
Ni  0.5000  0.5000  0.0000 (multiplicity 1)
B  0.5000  0.5000  0.5000 (multiplicity 1)

---

4.
A relaxed ZrCoNi2B crystal, computed with PBE-GGA.

a b c (Å): 3.9236 3.9236 3.9371
angles (deg): 90.00 90.00 90.00
Space group P4/mmm (No. 123)
One atom of each set of equivalent atoms:
Zr  0.0000  0.0000  0.0000 (multiplicity 1)
Co  0.5000  0.5000  0.0000 (multiplicity 1)
Ni  0.0000  0.5000  0.5000 (multiplicity 2)
B  0.5000  0.5000  0.5000 (multiplicity 1)

---

5.
A relaxed NpCo2B4 crystal, computed with PBE-GGA.

a b c (Å): 3.0025 3.1548 14.2599
angles (deg): 90.00 90.00 90.00
Space group Immm (No. 71)
One atom of each set of equivalent atoms:
Np  0.0000  0.0000  0.0000 (multiplicity 2)
Co  0.0000  0.5000  0.3054 (multiplicity 4)
B  0.0000  0.0000  0.3942 (multiplicity 4)
B  0.0000  0.5000  0.1609 (multiplicity 4)

---

6.
A relaxed Np2Co3B crystal, computed with PBE-GGA.

a b c (Å): 5.0337 5.0337 10.5594
angles (deg): 90.00 90.00 120.00
Space group R-3m (No. 166, hexagonal axes)
One atom of each set of equivalent atoms:
Np  0.0000  0.0000  0.1233 (multiplicity 6)
Co  0.0000  0.5000  0.0000 (multiplicity 9)
B  0.0000  0.0000  0.5000 (multiplicity 3)

---

Listing formation energy from the elements for the structures above in their given order: -0.353; -0.128; -0.357; -0.329; -0.277; -0.099 eV/atom.
Listing DFT total energy for the structures above in their given order: -6.9799; -5.4515; -7.4005; -7.1081; -7.9711; -9.0788 eV/atom.
Listing theoretical density for the structures above in their given order: 7.3; 7.6; 7.8; 7.6; 9.8; 14.2 Mg/m³.